Mn3FeO after structural relaxation. Source: Alexandria, functional PBE+U.

Lattice parameters (Å, degrees): 4.2714 4.2714 4.2714 90.00 90.00 90.00
Last column: magnetic moment on the atom in μB.
Fractional positions:
1 Mn 0.0000 0.5000 0.0000  4.30
2 Mn 0.0000 0.0000 0.5000  4.29
3 Mn 0.5000 0.0000 0.0000  4.23
4 Fe 0.5000 0.5000 0.5000  3.30
5 O 0.0000 0.0000 0.0000  0.01

Results
Fermi-level density of states = 1.09 states/eV/atom
Offset from the most stable computed form = 0.000 eV per atom